(1)
# PBE Cu2SiAgS4, optimized geometry
# Formation energy (no corrections) (meV/atom): -378
# V (Å³ per atom): 19.156
# Energy (eV per atom): -4.50
# DOS(E_F) (states/eV/f.u.): 7.96
data_Cu2SiAgS4
_chemical_formula_sum 'Cu8 Si4 Ag4 S16'
_cell_length_a 7.776
_cell_length_b 7.782
_cell_length_c 10.130
_cell_angle_alpha 90.00
_cell_angle_beta 90.00
_cell_angle_gamma 90.00
_space_group_name_H-M_alt 'F m m 2'
_space_group_IT_number 42
_space_group_name_Hall 'F 2 -2'
loop_
_atom_site_label
_atom_site_type_symbol
_atom_site_fract_x
_atom_site_fract_y
_atom_site_fract_z
Cu1 Cu 0.250 0.250 0.000
Si1 Si 0.000 0.000 0.250
Ag1 Ag 0.000 0.000 0.751
S1 S 0.000 0.221 0.379
S2 S 0.221 0.000 0.121

=====

(2)
# PBE Nd4NiPb, optimized geometry
# Polymorph energy (0 for the lowest one) (meV per atom): 35.4
# V (Å³ per atom): 29.850
# Energy (eV per atom): -5.02
# E_form (eV/atom): -0.26
# DOS(E_F) (states/eV/f.u.): 5.88
data_Nd4NiPb
_chemical_formula_sum 'Nd16 Ni4 Pb4'
_cell_length_a 8.966
_cell_length_b 14.380
_cell_length_c 6.123
_cell_angle_alpha 90.00
_cell_angle_beta 114.85
_cell_angle_gamma 90.00
_space_group_name_H-M_alt 'C 1 2/c 1'
_space_group_IT_number 15
_space_group_name_Hall '-C 2yc'
loop_
_atom_site_label
_atom_site_type_symbol
_atom_site_fract_x
_atom_site_fract_y
_atom_site_fract_z
Nd1 Nd 0.116 0.187 0.076
Nd2 Nd 0.234 0.429 0.347
Ni1 Ni 0.000 0.000 0.250
Pb1 Pb 0.000 0.381 0.750

=====

(3)
# PBE InRh2Pb, optimized geometry
# V (Å³ per atom): 19.121
# Energy (eV per atom): -5.33
# E_form (eV/atom): -0.04
# DOS(E_F) (states/eV/f.u.): 2.37
data_InRh2Pb
_chemical_formula_sum 'In1 Rh2 Pb1'
_cell_length_a 4.437
_cell_length_b 3.334
_cell_length_c 5.536
_cell_angle_alpha 90.00
_cell_angle_beta 110.93
_cell_angle_gamma 90.00
_space_group_name_H-M_alt 'P 1 2/m 1'
_space_group_IT_number 10
_space_group_name_Hall '-P 2y'
loop_
_atom_site_label
_atom_site_type_symbol
_atom_site_fract_x
_atom_site_fract_y
_atom_site_fract_z
In1 In 0.000 0.000 0.000
Rh1 Rh 0.000 0.000 0.500
Rh2 Rh 0.500 0.500 0.000
Pb1 Pb 0.500 0.500 0.500

=====

(4)
# PBE TcSbAs2, optimized geometry
# Formation energy (no corrections) (meV/atom): 179
# V (Å³ per atom): 19.641
# Energy (eV per atom): -5.77
# DOS(E_F) (states/eV/f.u.): 3.26
data_TcSbAs2
_chemical_formula_sum 'Tc3 Sb3 As6'
_cell_length_a 3.2350
_cell_length_b 3.2350
_cell_length_c 26.0052
_cell_angle_alpha 90.00
_cell_angle_beta 90.00
_cell_angle_gamma 120.00
_space_group_name_H-M_alt 'R 3 m'
_space_group_IT_number 160
_space_group_name_Hall 'R 3 -2"'
loop_
_atom_site_label
_atom_site_type_symbol
_atom_site_fract_x
_atom_site_fract_y
_atom_site_fract_z
Tc1 Tc 0.0000 0.0000 0.0000
Sb1 Sb 0.0000 0.0000 0.2552
As1 As 0.0000 0.0000 0.4934
As2 As 0.0000 0.0000 0.7314